{
  "formula": "Tb4Y3Ho5",
  "functional": "PBE-GGA",
  "state": "relaxed",
  "sg": "C2/m (12)",
  "magmom_total_mub_per_atom": 0.046,
  "relative_energy_ev_per_atom": 0.227,
  "dos_ef_per_ev_cell": 20.04,
  "formation_enthalpy_0k_mev_per_atom": 247,
  "cell": [[5.859, 0.000, 0.000], [2.930, 7.572, -2.624], [2.930, -0.911, 9.105]],
  "species": ["Ho", "Ho", "Ho", "Ho", "Ho", "Tb", "Tb", "Tb", "Tb", "Y", "Y", "Y"],
  "fractional_positions": [[0.786, 0.541, 0.886], [0.373, 0.055, 0.200], [0.627, 0.945, 0.800], [0.214, 0.459, 0.114], [0.500, 0.500, 0.500], [0.165, 0.049, 0.621], [0.835, 0.951, 0.379], [0.861, 0.221, 0.057], [0.139, 0.779, 0.943], [0.477, 0.313, 0.732], [0.000, 0.500, 0.500], [0.523, 0.687, 0.268]]
}

---

{
  "formula": "Cs2GePd",
  "functional": "PBE-GGA",
  "state": "relaxed",
  "sg": "Fm-3m (225)",
  "magmom_total_mub_per_atom": 0.500,
  "relative_energy_ev_per_atom": 0.618,
  "dos_ef_per_ev_cell": 1.84,
  "formation_enthalpy_0k_mev_per_atom": 535,
  "cell": [[0.000, 4.345, 4.345], [4.345, 0.000, 4.345], [4.345, 4.345, 0.000]],
  "species": ["Cs", "Cs", "Pd", "Ge"],
  "fractional_positions": [[0.750, 0.750, 0.750], [0.250, 0.250, 0.250], [0.500, 0.500, 0.500], [0.000, 0.000, 0.000]]
}

---

{
  "formula": "AsSe2SF",
  "functional": "PBE-GGA",
  "state": "relaxed",
  "raw_formation_energy_ev_per_atom": 0.522,
  "sg": "P4/mmm (123)",
  "magmom_total_mub_per_atom": 0.000,
  "relative_energy_ev_per_atom": 0.000,
  "dos_ef_per_ev_cell": 4.04,
  "cell": [[-4.393, 1.463, 1.251], [-1.855, -2.380, -3.729], [-0.521, -3.931, 2.768]],
  "species": ["Se", "Se", "F", "As", "S"],
  "fractional_positions": [[0.500, 0.000, 0.000], [0.000, 0.500, 0.000], [0.500, 0.500, 0.500], [0.000, 0.000, 0.500], [0.000, 0.000, 0.000]]
}

---

{
  "formula": "Ac6Ni2IrCl3",
  "functional": "PBE-GGA",
  "state": "relaxed",
  "raw_formation_energy_ev_per_atom": -1.060,
  "sg": "C2/m (12)",
  "magmom_total_mub_per_atom": 0.000,
  "dos_ef_per_ev_cell": 7.53,
  "cell": [[-3.864, 1.858, 0.528], [-3.919, -8.446, 1.042], [4.872, 2.629, 8.733]],
  "species": ["Ni", "Ni", "Ac", "Ac", "Ac", "Ac", "Ac", "Ac", "Cl", "Cl", "Cl", "Ir"],
  "fractional_positions": [[0.168, 0.336, 0.336], [0.832, 0.664, 0.664], [0.010, 0.223, 0.021], [0.990, 0.777, 0.979], [0.678, 0.555, 0.355], [0.656, 0.112, 0.311], [0.344, 0.888, 0.689], [0.322, 0.445, 0.645], [0.500, 0.500, 0.000], [0.168, 0.830, 0.336], [0.832, 0.170, 0.664], [0.500, 0.000, 0.000]]
}

---

{
  "formula": "CaPdO",
  "functional": "PBE-GGA",
  "state": "relaxed",
  "raw_formation_energy_ev_per_atom": -1.439,
  "sg": "Pm (6)",
  "magmom_total_mub_per_atom": 0.000,
  "dos_ef_per_ev_cell": 0.00,
  "cell": [[4.105, 0.001, 0.000], [-2.359, 5.763, 0.000], [0.000, 0.000, 4.253]],
  "species": ["O", "O", "Pd", "Pd", "Ca", "Ca"],
  "fractional_positions": [[0.108, 0.200, 0.669], [0.394, 0.826, 0.169], [0.626, 0.488, 0.669], [0.869, 0.779, 0.169], [0.473, 0.978, 0.669], [0.113, 0.383, 0.169]]
}

---

{
  "formula": "Tl2AgSnTe4",
  "functional": "PBE-GGA",
  "state": "relaxed",
  "raw_formation_energy_ev_per_atom": -0.171,
  "sg": "P1 (1)",
  "magmom_total_mub_per_atom": 0.000,
  "dos_ef_per_ev_cell": 3.17,
  "cell": [[-5.339, -2.451, 5.660], [5.391, 0.114, 5.765], [-1.028, 5.338, -4.852]],
  "species": ["Te", "Te", "Te", "Te", "Tl", "Tl", "Sn", "Ag"],
  "fractional_positions": [[0.085, 0.110, 0.777], [0.314, 0.726, 0.073], [0.761, 0.348, 0.075], [0.691, 0.667, 0.777], [0.220, 0.219, 0.439], [0.607, 0.107, 0.214], [0.724, 0.724, 0.448], [0.986, 0.486, 0.972]]
}

---

So what do the calculations give for V? Going down the list: 32.5, 41.0, 22.3, 32.1, 16.8, 35.1 Å³ per atom.